A plane-wave DFT calculation with PBE-GGA was carried out for crystalline Ac2TbSm at its relaxed geometry.

Calculated values
- calculated volume (A^3/atom) = 38.385
- energy relative to the lowest polymorph listed for this composition (meV per atom) = 8
- spin magnetization (μB/atom) = 0.000
- DFT total energy (eV for the cell shown) = -17.39

The structure in POSCAR format:
```
Ac2TbSm
1.0
3.872 0.000 0.000
0.000 3.872 0.000
0.000 0.000 10.243
Ac Tb Sm
2 1 1
Cartesian
0.000 0.000 2.536
0.000 0.000 7.707
1.936 1.936 0.000
1.936 1.936 5.121
```



A plane-wave DFT calculation with PBE-GGA was carried out for crystalline Na2BeP at its relaxed geometry.

Calculated values
- calculated volume (A^3/atom) = 22.076
- energy relative to the lowest polymorph listed for this composition (meV per atom) = 0
- spin magnetization (μB/atom) = 0.000
- DFT total energy (eV for the cell shown) = -23.90

The structure in POSCAR format:
```
Na2BeP
1.0
5.157 -1.981 0.000
5.157 1.981 0.000
-4.920 0.000 8.643
Na Be P
4 2 2
Cartesian
1.355 0.256 0.776
-1.105 -0.256 5.097
6.500 0.256 3.545
4.040 -0.256 7.866
1.467 0.523 6.482
3.927 -0.523 2.161
3.927 1.460 2.161
1.467 -1.460 6.482
```



A plane-wave DFT calculation with PBE-GGA was carried out for crystalline KBaSe at its relaxed geometry.

Calculated values
- raw formation energy (eV per atom) = -1.190
- calculated volume (A^3/atom) = 58.285
- energy relative to the lowest polymorph listed for this composition (meV per atom) = 0
- spin magnetization (μB/atom) = 0.000
- DFT total energy (eV for the cell shown) = -20.15

The structure in POSCAR format:
```
KBaSe
1.0
4.789 -2.771 0.000
4.789 2.771 0.000
-0.018 0.000 13.175
K Ba Se
2 2 2
Cartesian
1.598 0.000 5.017
7.962 0.000 8.158
1.574 0.000 11.551
7.986 0.000 1.624
1.604 0.000 1.626
7.956 0.000 11.548
```



A plane-wave DFT calculation with PBE-GGA was carried out for crystalline ZrCr4Cu at its relaxed geometry.

Calculated values
- calculated volume (A^3/atom) = 13.805
- spin magnetization (μB/atom) = 0.000
- DFT total energy (eV for the cell shown) = -49.66

The structure in POSCAR format:
```
ZrCr4Cu
1.0
0.000 3.460 3.460
3.460 0.000 3.460
3.460 3.460 0.000
Zr Cr Cu
1 4 1
Cartesian
0.000 0.000 0.000
4.322 2.598 2.598
2.598 4.322 2.598
2.598 2.598 4.322
4.322 4.322 4.322
1.730 1.730 1.730
```



A plane-wave DFT calculation with PBE-GGA was carried out for crystalline ZnAgCl2 at its relaxed geometry.

Calculated values
- raw formation energy (eV per atom) = -0.512
- calculated volume (A^3/atom) = 25.086
- energy relative to the lowest polymorph listed for this composition (meV per atom) = 0
- spin magnetization (μB/atom) = 0.000
- DFT total energy (eV for the cell shown) = -9.87

The structure in POSCAR format:
```
ZnAgCl2
1.0
5.435 0.000 0.000
0.000 3.381 0.000
-1.739 0.000 5.461
Zn Ag Cl
1 1 2
Cartesian
0.000 0.000 0.000
0.155 1.690 4.530
2.018 0.000 3.792
4.710 1.690 1.486
```



A plane-wave DFT calculation with PBE-GGA was carried out for crystalline Cs3SrSm2Te6 at its relaxed geometry.

Calculated values
- raw formation energy (eV per atom) = -1.321
- calculated volume (A^3/atom) = 42.876
- spin magnetization (μB/atom) = 0.000
- DFT total energy (eV for the cell shown) = -48.39

The structure in POSCAR format:
```
Cs3SrSm2Te6
1.0
4.063 -7.038 0.000
4.063 7.038 0.000
-2.714 0.000 8.997
Cs Sr Sm Te
3 1 2 6
Cartesian
0.000 0.000 0.000
4.063 2.277 0.000
4.063 -2.277 0.000
2.706 0.000 4.498
2.706 4.684 4.498
2.706 -4.684 4.498
1.282 2.465 2.729
-0.140 0.000 6.248
1.282 -2.465 2.729
4.130 2.465 6.268
5.552 0.000 2.749
4.130 -2.465 6.268
```



A plane-wave DFT calculation with PBE-GGA was carried out for crystalline ZrRe5 at its relaxed geometry.

Calculated values
- calculated volume (A^3/atom) = 16.135
- energy relative to the lowest polymorph listed for this composition (meV per atom) = 125
- spin magnetization (μB/atom) = 0.000
- DFT total energy (eV for the cell shown) = -69.66

The structure in POSCAR format:
```
ZrRe5
1.0
4.621 0.000 0.000
0.000 1.393 7.519
0.000 -1.393 7.519
Zr Re
1 5
Cartesian
0.000 0.000 0.000
0.000 0.000 4.924
0.000 0.000 10.165
2.311 0.000 1.782
2.311 0.000 6.539
2.311 0.000 11.678
```



A plane-wave DFT calculation with PBE-GGA was carried out for crystalline YHo2Tm4 at its relaxed geometry.

Calculated values
- calculated volume (A^3/atom) = 31.521
- energy relative to the lowest polymorph listed for this composition (meV per atom) = 33
- spin magnetization (μB/atom) = 0.000
- DFT total energy (eV for the cell shown) = -65.41

The structure in POSCAR format:
```
YHo2Tm4
1.0
9.247 -2.766 0.000
9.247 2.766 0.000
-5.873 0.000 8.625
Y Ho Tm
2 4 8
Cartesian
0.000 0.000 0.000
-0.631 0.000 5.903
5.557 0.000 3.802
9.456 0.000 2.305
5.602 0.000 7.970
13.011 0.000 2.577
3.689 0.000 0.503
1.805 0.000 3.265
6.958 0.000 0.456
2.956 0.000 6.328
10.860 0.000 5.339
8.935 0.000 8.197
16.520 0.000 2.614
14.318 0.000 5.828
```



A plane-wave DFT calculation with PBE-GGA was carried out for crystalline Nd2TmFe9 at its relaxed geometry.

Calculated values
- calculated volume (A^3/atom) = 15.727
- spin magnetization (μB/atom) = 1.594
- DFT total energy (eV for the cell shown) = -90.17

The structure in POSCAR format:
```
Nd2TmFe9
1.0
2.567 1.482 8.271
-2.567 1.482 8.271
0.000 -2.964 8.271
Nd Tm Fe
2 1 9
Cartesian
0.000 0.000 3.499
0.000 0.000 21.314
0.000 0.000 0.000
-1.271 -0.734 10.230
0.000 0.000 8.258
0.000 -1.467 14.582
-1.271 0.734 14.582
0.000 0.000 12.406
1.271 -0.734 10.230
0.000 1.467 10.230
0.000 0.000 16.555
1.271 0.734 14.582
```



A plane-wave DFT calculation with PBE-GGA was carried out for crystalline CrTc at its relaxed geometry.

Calculated values
- calculated volume (A^3/atom) = 13.475
- spin magnetization (μB/atom) = 0.000
- DFT total energy (eV for the cell shown) = -39.01

The structure in POSCAR format:
```
CrTc
1.0
2.754 0.000 0.000
-1.377 2.385 0.000
0.000 0.000 8.208
Cr Tc
2 2
Cartesian
0.000 1.590 0.822
1.377 0.795 7.386
0.000 1.590 5.167
1.377 0.795 3.041
```



A plane-wave DFT calculation with PBE-GGA was carried out for crystalline LaSmDy2Ho2 at its relaxed geometry.

Calculated values
- calculated volume (A^3/atom) = 32.571
- spin magnetization (μB/atom) = 0.000
- DFT total energy (eV for the cell shown) = -55.19

The structure in POSCAR format:
```
LaSmDy2Ho2
1.0
6.972 0.000 0.000
0.000 9.872 0.000
0.000 0.000 5.679
La Sm Dy Ho
2 2 4 4
Cartesian
0.000 0.000 0.000
3.486 4.936 2.839
0.000 4.936 2.839
3.486 0.000 0.000
1.735 3.291 0.000
1.751 8.227 2.839
5.221 1.645 2.839
5.237 6.581 0.000
1.737 6.580 0.000
1.749 1.644 2.839
5.223 8.228 2.839
5.235 3.292 0.000
```



A plane-wave DFT calculation with PBE-GGA was carried out for crystalline K2Tl2Br at its relaxed geometry.

Calculated values
- raw formation energy (eV per atom) = -0.424
- calculated volume (A^3/atom) = 44.351
- spin magnetization (μB/atom) = 0.000
- DFT total energy (eV for the cell shown) = -21.44

The structure in POSCAR format:
```
K2Tl2Br
1.0
8.476 0.000 0.000
0.000 8.476 0.000
0.000 0.000 6.174
K Tl Br
4 4 2
Cartesian
1.511 2.727 0.000
2.727 6.965 0.000
5.748 1.511 0.000
6.965 5.748 0.000
1.092 5.330 3.087
3.146 1.092 3.087
5.330 7.383 3.087
7.383 3.146 3.087
0.000 0.000 0.000
4.238 4.238 0.000
```